VASP calculation (PBE) on a relaxed structure of CePuBi.

## Properties
DFT total energy, eV/atom: -8.463
Magnetic moment, μB per formula unit: 7.25
Density, g cm⁻³: 11.44
Offset from the most stable computed form, meV per atom: 0
Density of states at the Fermi level, states/eV per atom: 2.288
ΔH_f (0 K), meV per atom: -414

abc: 4.266 4.266 9.462
angles: 90.00 90.00 90.00
Space group I4mm (No. 107)
Symmetry-distinct sites (fractional):
Ce: 0.000 0.000 0.000 [2 per cell]
Pu: 0.000 0.000 0.290 [2 per cell]
Bi: 0.000 0.000 0.645 [2 per cell]